(1)
Na3Cd2CoO6 | Alexandria via LeMat-Bulk | PBE+U | relaxed; space group = No. 12; total magnetization = 0.1743 μB per atom; total energy = -4.4667 eV per atom
1.0
2.811 -4.864 0.000
2.811 4.864 0.000
-1.918 0.000 5.404
Na Cd Co O
3 2 1 6
direct
0.000 0.000 0.000
0.335 0.665 0.000
0.665 0.335 0.000
0.168 0.832 0.500
0.832 0.168 0.500
0.500 0.500 0.500
0.145 0.428 0.289
0.293 0.293 0.699
0.428 0.145 0.289
0.572 0.855 0.711
0.707 0.707 0.301
0.855 0.572 0.711



(2)
NaCd2CoO4 | Alexandria via LeMat-Bulk | PBE+U | relaxed; space group = No. 121; total magnetization = 0.2510 μB per atom; total energy = -4.5606 eV per atom
1.0
5.596 0.000 0.000
0.000 5.596 0.000
0.000 0.000 6.895
Na Cd Co O
2 4 2 8
direct
0.000 0.000 0.000
0.500 0.500 0.500
0.000 0.500 0.250
0.000 0.500 0.750
0.500 0.000 0.250
0.500 0.000 0.750
0.000 0.000 0.500
0.500 0.500 0.000
0.220 0.220 0.409
0.220 0.780 0.591
0.280 0.280 0.909
0.280 0.720 0.091
0.720 0.280 0.091
0.720 0.720 0.909
0.780 0.220 0.591
0.780 0.780 0.409



Which formula does entry 1 have?
Na3Cd2CoO6



Among the records above, which one has the highest total magnetization?
NaCd2CoO4